[1]
! Tm3PuHg6 (PBE-GGA, relaxed); values from VASP
! Total magnetic moment in μB/f.u.: 6.091
! Formation energy in eV per atom: -0.324
! SG: No. 11
&SYSTEM
  ibrav = 0, nat = 20, ntyp = 3
/
ATOMIC_SPECIES
Tm 168.93 Tm.upf
Pu 244.00 Pu.upf
Hg 200.59 Hg.upf
CELL_PARAMETERS angstrom
-4.7810 0.2711 -1.8686
3.0695 -2.4418 -8.2078
-2.6323 -9.3135 5.3838
ATOMIC_POSITIONS crystal
Tm 0.2500 0.5275 0.3850
Tm 0.7500 0.4725 0.6150
Tm 0.2500 0.3539 0.7999
Tm 0.7500 0.6461 0.2001
Tm 0.2500 0.7695 0.9870
Tm 0.7500 0.2305 0.0130
Pu 0.2500 0.9453 0.5956
Pu 0.7500 0.0547 0.4044
Hg 0.2500 0.4658 0.0886
Hg 0.7500 0.5342 0.9114
Hg 0.2500 0.1478 0.1985
Hg 0.7500 0.8522 0.8015
Hg 0.2500 0.6480 0.6955
Hg 0.7500 0.3520 0.3045
Hg 0.2500 0.2650 0.5094
Hg 0.7500 0.7350 0.4906
Hg 0.2500 0.8320 0.2895
Hg 0.7500 0.1680 0.7105
Hg 0.2500 0.0648 0.8968
Hg 0.7500 0.9352 0.1032


[2]
! TmPuHg4 (PBE-GGA, relaxed); values from VASP
! Total magnetic moment in μB/f.u.: 5.919
! Formation energy in eV per atom: -0.061
! SG: No. 216
&SYSTEM
  ibrav = 0, nat = 6, ntyp = 3
/
ATOMIC_SPECIES
Tm 168.93 Tm.upf
Hg 200.59 Hg.upf
Pu 244.00 Pu.upf
CELL_PARAMETERS angstrom
5.9595 0.0000 0.0000
2.9798 5.1611 0.0000
2.9798 1.7204 4.8659
ATOMIC_POSITIONS crystal
Tm 0.0000 0.0000 0.0000
Hg 0.6251 0.6251 0.1248
Hg 0.6251 0.1248 0.6251
Hg 0.6251 0.6251 0.6251
Hg 0.1248 0.6251 0.6251
Pu 0.2500 0.2500 0.2500


[3]
! Tm2PuHg8 (PBE-GGA, relaxed); values from VASP
! Total magnetic moment in μB/f.u.: 5.849
! Formation energy in eV per atom: -0.196
! SG: No. 71
&SYSTEM
  ibrav = 0, nat = 11, ntyp = 3
/
ATOMIC_SPECIES
Tm 168.93 Tm.upf
Pu 244.00 Pu.upf
Hg 200.59 Hg.upf
CELL_PARAMETERS angstrom
-4.6905 1.4007 1.4986
-2.8304 -1.8833 -7.0988
2.5519 -6.1297 4.9722
ATOMIC_POSITIONS crystal
Tm 0.2032 0.7032 0.4064
Tm 0.7968 0.2968 0.5936
Pu 0.5000 0.0000 0.0000
Hg 0.6464 0.8458 0.2927
Hg 0.3536 0.5531 0.7073
Hg 0.1518 0.1518 0.3035
Hg 0.0000 0.2998 0.0000
Hg 0.8482 0.8482 0.6965
Hg 0.6464 0.4469 0.2927
Hg 0.3536 0.1542 0.7073
Hg 0.0000 0.7002 0.0000


[4]
! Tm2PuHg4 (PBE-GGA, relaxed); values from VASP
! Total magnetic moment in μB/f.u.: 6.043
! Formation energy in eV per atom: -0.206
! SG: No. 123
&SYSTEM
  ibrav = 0, nat = 7, ntyp = 3
/
ATOMIC_SPECIES
Tm 168.93 Tm.upf
Pu 244.00 Pu.upf
Hg 200.59 Hg.upf
CELL_PARAMETERS angstrom
-2.2287 4.5958 -1.0069
-2.9877 -2.2431 -3.6254
-4.9250 -1.3202 4.8756
ATOMIC_POSITIONS crystal
Tm 0.0000 0.0000 0.0000
Tm 0.5000 0.5000 0.5000
Pu 0.5000 0.5000 0.0000
Hg 0.5000 0.0000 0.2671
Hg 0.0000 0.5000 0.7329
Hg 0.5000 0.0000 0.7329
Hg 0.0000 0.5000 0.2671


[5]
! TmPu2Hg (PBE-GGA, relaxed); values from VASP
! Total magnetic moment in μB/f.u.: 12.387
! Formation energy in eV per atom: -0.047
! SG: No. 123
&SYSTEM
  ibrav = 0, nat = 4, ntyp = 3
/
ATOMIC_SPECIES
Tm 168.93 Tm.upf
Hg 200.59 Hg.upf
Pu 244.00 Pu.upf
CELL_PARAMETERS angstrom
-4.7340 -1.3205 -1.8899
1.7558 -3.5696 -1.9040
-0.8037 -2.3420 3.6496
ATOMIC_POSITIONS crystal
Tm 0.5000 0.0000 0.0000
Hg 0.5000 0.5000 0.5000
Pu 0.0000 0.0000 0.5000
Pu 0.0000 0.5000 0.0000


[6]
! TmPuHg (PBE-GGA, relaxed); values from VASP
! Total magnetic moment in μB/f.u.: 6.085
! Formation energy in eV per atom: -0.027
! SG: No. 156
&SYSTEM
  ibrav = 0, nat = 3, ntyp = 3
/
ATOMIC_SPECIES
Tm 168.93 Tm.upf
Hg 200.59 Hg.upf
Pu 244.00 Pu.upf
CELL_PARAMETERS angstrom
3.3543 0.0000 0.0000
0.0000 5.2163 0.0000
0.0000 -2.6082 4.5175
ATOMIC_POSITIONS crystal
Tm 0.7288 0.3333 0.6667
Hg 0.9709 0.0000 0.0000
Pu 0.3003 0.6667 0.3333


[7]
! TmPuZnHg (PBE-GGA, relaxed); values from VASP
! Total magnetic moment in μB/f.u.: 6.062
! Formation energy in eV per atom: -0.194
! SG: No. 216
&SYSTEM
  ibrav = 0, nat = 4, ntyp = 4
/
ATOMIC_SPECIES
Zn 65.41 Zn.upf
Tm 168.93 Tm.upf
Hg 200.59 Hg.upf
Pu 244.00 Pu.upf
CELL_PARAMETERS angstrom
-5.0236 -0.2850 -1.1550
-2.3592 -4.5896 -0.1435
-3.4215 -1.2590 3.6551
ATOMIC_POSITIONS crystal
Zn 0.5000 0.5000 0.5000
Tm 0.7500 0.7500 0.7500
Hg 0.0000 0.0000 0.0000
Pu 0.2500 0.2500 0.2500


[8]
! PuUHg (PBE-GGA, relaxed); values from VASP
! Total magnetic moment in μB/f.u.: 4.222
! Formation energy in eV per atom: 0.052
! SG: No. 11
&SYSTEM
  ibrav = 0, nat = 6, ntyp = 3
/
ATOMIC_SPECIES
Hg 200.59 Hg.upf
U 238.03 U.upf
Pu 244.00 Pu.upf
CELL_PARAMETERS angstrom
3.7958 0.0000 0.0000
0.0000 5.1766 -0.6236
0.0000 -1.8903 7.0867
ATOMIC_POSITIONS crystal
Hg 0.2500 0.0655 0.1608
Hg 0.7500 0.9345 0.8392
U 0.2500 0.7293 0.4650
U 0.7500 0.2707 0.5350
Pu 0.2500 0.4036 0.7822
Pu 0.7500 0.5964 0.2178


[9]
! YPuHg2 (PBE-GGA, relaxed); values from VASP
! Total magnetic moment in μB/f.u.: 6.054
! Formation energy in eV per atom: -0.294
! SG: No. 123
&SYSTEM
  ibrav = 0, nat = 4, ntyp = 3
/
ATOMIC_SPECIES
Y 88.91 Y.upf
Hg 200.59 Hg.upf
Pu 244.00 Pu.upf
CELL_PARAMETERS angstrom
-0.0589 2.8341 -2.3143
-5.3673 -0.1534 -0.0512
-0.1367 3.3936 4.1592
ATOMIC_POSITIONS crystal
Y 0.5000 0.5000 0.5000
Hg 0.0000 0.0000 0.5000
Hg 0.0000 0.5000 0.0000
Pu 0.5000 0.0000 0.0000


[10]
! YPu2Hg8 (PBE-GGA, relaxed); values from VASP
! Total magnetic moment in μB/f.u.: 11.438
! Formation energy in eV per atom: -0.145
! SG: No. 71
&SYSTEM
  ibrav = 0, nat = 11, ntyp = 3
/
ATOMIC_SPECIES
Y 88.91 Y.upf
Pu 244.00 Pu.upf
Hg 200.59 Hg.upf
CELL_PARAMETERS angstrom
5.0099 0.0000 -1.5213
-0.9276 6.8728 -3.0547
-0.1592 -0.4237 8.4858
ATOMIC_POSITIONS crystal
Y 0.5000 0.0000 0.0000
Pu 0.2010 0.7008 0.4020
Pu 0.7990 0.2992 0.5980
Hg 0.6404 0.8428 0.2808
Hg 0.3598 0.5620 0.7195
Hg 0.1547 0.1546 0.3094
Hg 0.0000 0.2922 0.0000
Hg 0.8453 0.8454 0.6906
Hg 0.6402 0.4380 0.2805
Hg 0.3596 0.1572 0.7192
Hg 0.0000 0.7078 0.0000


[11]
! Y5PuHg6 (PBE-GGA, relaxed); values from VASP
! Total magnetic moment in μB/f.u.: 6.340
! Formation energy in eV per atom: -0.434
! SG: No. 71
&SYSTEM
  ibrav = 0, nat = 12, ntyp = 3
/
ATOMIC_SPECIES
Y 88.91 Y.upf
Hg 200.59 Hg.upf
Pu 244.00 Pu.upf
CELL_PARAMETERS angstrom
5.0565 -0.0042 -1.4173
-3.7769 7.3934 -3.7692
-0.1880 -1.0093 9.0598
ATOMIC_POSITIONS crystal
Y 0.5000 0.1582 0.8418
Y 0.0000 0.3295 0.6705
Y 0.5000 0.5000 0.5000
Y 0.0000 0.6705 0.3295
Y 0.5000 0.8418 0.1582
Hg 0.2586 0.0888 0.4282
Hg 0.7414 0.5718 0.9112
Hg 0.7662 0.2661 0.2661
Hg 0.2338 0.7339 0.7339
Hg 0.2586 0.4282 0.0888
Hg 0.7414 0.9112 0.5718
Pu 0.0000 0.0000 0.0000


[12]
! Y2PuHg3 (PBE-GGA, relaxed); values from VASP
! Total magnetic moment in μB/f.u.: 5.875
! Formation energy in eV per atom: -0.369
! SG: No. 123
&SYSTEM
  ibrav = 0, nat = 6, ntyp = 3
/
ATOMIC_SPECIES
Y 88.91 Y.upf
Pu 244.00 Pu.upf
Hg 200.59 Hg.upf
CELL_PARAMETERS angstrom
3.7145 0.0000 0.0000
0.0000 3.7145 0.0000
0.0000 0.0000 11.3617
ATOMIC_POSITIONS crystal
Y 0.5000 0.5000 0.8358
Y 0.5000 0.5000 0.1642
Pu 0.5000 0.5000 0.5000
Hg 0.0000 0.0000 0.0000
Hg 0.0000 0.0000 0.6775
Hg 0.0000 0.0000 0.3225


Please write out number 5 again, unchanged.
! TmPu2Hg (PBE-GGA, relaxed); values from VASP
! Total magnetic moment in μB/f.u.: 12.387
! Formation energy in eV per atom: -0.047
! SG: No. 123
&SYSTEM
  ibrav = 0, nat = 4, ntyp = 3
/
ATOMIC_SPECIES
Tm 168.93 Tm.upf
Hg 200.59 Hg.upf
Pu 244.00 Pu.upf
CELL_PARAMETERS angstrom
-4.7340 -1.3205 -1.8899
1.7558 -3.5696 -1.9040
-0.8037 -2.3420 3.6496
ATOMIC_POSITIONS crystal
Tm 0.5000 0.0000 0.0000
Hg 0.5000 0.5000 0.5000
Pu 0.0000 0.0000 0.5000
Pu 0.0000 0.5000 0.0000